! YSc2Hg, optimized geometry, DFT PBE-GGA; values from VASP
! electronic total energy	-5.001	eV/atom
! spin magnetization	0.254	μB per atom
! density	6.467	Mg/m³
! SG	I-4m2 (119)
&SYSTEM
  ibrav = 0, nat = 4, ntyp = 3
/
ATOMIC_SPECIES
Hg 200.59 Hg.upf
Sc 44.96 Sc.upf
Y 88.91 Y.upf
ATOMIC_POSITIONS crystal
Hg 0.750 0.250 0.500
Sc 0.000 0.000 0.000
Sc 0.250 0.750 0.500
Y 0.500 0.500 0.000
CELL_PARAMETERS angstrom
-0.391 -1.048 5.580
-2.524 -5.008 0.965
4.329 1.567 -3.345